Record 1
MgBi2Sb after structural relaxation. Source: Alexandria, functional PBE.

Unit cell a=5.462 b=5.462 c=5.462 alpha=60.00 beta=60.00 gamma=60.00
Atoms (fractional coordinates):
Bi (0.750, 0.750, 0.750)
Mg (0.000, 0.000, 0.000)
Sb (0.500, 0.500, 0.500)
Bi (0.250, 0.250, 0.250)

## Properties
The value obtained for the size of the total moment is 0.00 μB per formula unit. For the density of states at the Fermi level, the calculation gives 2.8 states/eV/f.u. The value obtained for the formation energy (no corrections) is 0.09 eV per atom. The offset from the most stable computed form comes out at 44 meV/atom.

***

Record 2
InReWSe2 after structural relaxation. Source: Alexandria, functional PBE.

Unit cell a=4.975 b=5.161 c=4.975 alpha=90.00 beta=90.00 gamma=90.00
Each line ends with the local moment (μB).
Atoms (fractional coordinates):
In (0.000, 0.000, 0.000)  0.00
Se (0.000, 0.000, 0.500)  0.06
Re (0.000, 0.500, 0.000)  2.42
W (0.500, 0.500, 0.500)  0.16
Se (0.500, 0.000, 0.000)  0.03

## Properties
The value obtained for the size of the total moment is 3.20 μB per formula unit. For the density of states at the Fermi level, the calculation gives 7.3 states/eV/f.u. The value obtained for the formation energy (no corrections) is 2.50 eV per atom.

***

Record 3
KSc2Pt after structural relaxation. Source: Alexandria, functional PBE.

Unit cell a=6.397 b=6.397 c=6.397 alpha=148.85 beta=125.17 gamma=64.42
Atoms (fractional coordinates):
K (0.750, 0.250, 0.500)
Sc (0.066, 0.066, 0.000)
Sc (0.434, 0.434, 0.000)
Pt (0.250, 0.750, 0.500)

## Properties
The value obtained for the size of the total moment is 0.00 μB per formula unit. The formation enthalpy at 0 K is -0.1271 eV per atom. For the density of states at the Fermi level, the calculation gives 4.8 states/eV/f.u. The offset from the most stable computed form comes out at 245 meV/atom.

***

Record 4
Sc2Ag2C after structural relaxation. Source: Alexandria, functional PBE.

Unit cell a=3.302 b=3.302 c=9.542 alpha=80.04 beta=80.04 gamma=60.00
Atoms (fractional coordinates):
Sc (0.377, 0.377, 0.868)
C (0.000, 0.000, 0.000)
Ag (0.872, 0.872, 0.383)
Sc (0.623, 0.623, 0.132)
Ag (0.128, 0.128, 0.617)

## Properties
The value obtained for the size of the total moment is 0.00 μB per formula unit. The formation enthalpy at 0 K is -0.3032 eV per atom. For the density of states at the Fermi level, the calculation gives 2.2 states/eV/f.u.

***

Record 5
CeMoOs after structural relaxation. Source: Alexandria, functional PBE.

Unit cell a=4.097 b=4.097 c=9.505 alpha=90.00 beta=90.00 gamma=120.00
Atoms (fractional coordinates):
Mo (0.000, 0.000, 0.611)
Os (0.667, 0.333, 0.530)
Ce (0.667, 0.333, 0.859)
Mo (0.000, 0.000, 0.111)
Ce (0.333, 0.667, 0.359)
Os (0.333, 0.667, 0.030)

## Properties
The value obtained for the size of the total moment is 0.00 μB per formula unit. The formation enthalpy at 0 K is 0.3241 eV per atom. For the density of states at the Fermi level, the calculation gives 4.3 states/eV/f.u. The offset from the most stable computed form comes out at 418 meV/atom.

***

Record 6
Tm7Ga2Te2 after structural relaxation. Source: Alexandria, functional PBE.

Unit cell a=4.248 b=8.975 c=8.975 alpha=63.12 beta=76.31 gamma=76.31
Atoms (fractional coordinates):
Tm (0.632, 0.479, 0.256)
Tm (0.857, 0.408, 0.878)
Tm (0.183, 0.716, 0.917)
Tm (0.143, 0.122, 0.592)
Tm (0.817, 0.083, 0.284)
Te (0.000, 0.747, 0.253)
Tm (0.368, 0.744, 0.521)
Ga (0.731, 0.863, 0.675)
Ga (0.269, 0.325, 0.137)
Tm (0.500, 0.011, 0.989)
Te (0.500, 0.358, 0.642)

## Properties
The value obtained for the size of the total moment is 0.00 μB per formula unit. For the density of states at the Fermi level, the calculation gives 9.4 states/eV/f.u. The value obtained for the formation energy (no corrections) is -0.70 eV per atom. The offset from the most stable computed form comes out at 0 meV/atom.

***

Record 7
CrFe4P after structural relaxation. Source: Alexandria, functional PBE.

Unit cell a=4.654 b=4.654 c=4.654 alpha=60.00 beta=60.00 gamma=60.00
Each line ends with the local moment (μB).
Atoms (fractional coordinates):
P (0.750, 0.750, 0.750)  0.03
Cr (0.000, 0.000, 0.000)  1.55
Fe (0.375, 0.876, 0.375)  1.89
Fe (0.876, 0.375, 0.375)  1.89
Fe (0.375, 0.375, 0.375)  1.89
Fe (0.375, 0.375, 0.876)  1.89

## Properties
The value obtained for the size of the total moment is 9.27 μB per formula unit. The formation enthalpy at 0 K is 0.3299 eV per atom. For the density of states at the Fermi level, the calculation gives 6.2 states/eV/f.u.

***

Record 8
ZrPbBr2 after structural relaxation. Source: Alexandria, functional PBE.

Unit cell a=5.694 b=5.694 c=3.372 alpha=90.00 beta=90.00 gamma=108.89
Atoms (fractional coordinates):
Zr (0.000, 0.500, 0.500)
Pb (0.500, 0.000, 0.500)
Br (0.000, 0.000, 0.000)
Br (0.500, 0.500, 0.000)

## Properties
The value obtained for the size of the total moment is 0.01 μB per formula unit. For the density of states at the Fermi level, the calculation gives 3.4 states/eV/f.u. The value obtained for the formation energy (no corrections) is -0.06 eV per atom. The offset from the most stable computed form comes out at 713 meV/atom.

***

Record 9
VGaN after structural relaxation. Source: Alexandria, functional PBE.

Unit cell a=3.294 b=3.294 c=9.158 alpha=79.64 beta=79.64 gamma=60.00
Atoms (fractional coordinates):
Ga (0.130, 0.130, 0.611)
Ga (0.870, 0.870, 0.389)
V (0.297, 0.297, 0.109)
N (0.372, 0.372, 0.884)
V (0.703, 0.703, 0.891)
N (0.628, 0.628, 0.116)

## Properties
The value obtained for the size of the total moment is 0.00 μB per formula unit. For the density of states at the Fermi level, the calculation gives 1.7 states/eV/f.u. The value obtained for the formation energy (no corrections) is -0.48 eV per atom.

***

Record 10
NdYSN after structural relaxation. Source: Alexandria, functional PBE.

Unit cell a=3.699 b=3.699 c=6.795 alpha=74.21 beta=74.21 gamma=60.00
Atoms (fractional coordinates):
S (0.496, 0.496, 0.513)
Nd (0.263, 0.263, 0.212)
N (0.005, 0.005, 0.984)
Y (0.736, 0.736, 0.791)

## Properties
The value obtained for the size of the total moment is 0.00 μB per formula unit. For the density of states at the Fermi level, the calculation gives 1.0 states/eV/f.u. The value obtained for the formation energy (no corrections) is -1.79 eV per atom.

***

Record 11
Li12Zn6Au after structural relaxation. Source: Alexandria, functional PBE.

Unit cell a=6.835 b=6.835 c=6.835 alpha=88.95 beta=88.95 gamma=88.95
Atoms (fractional coordinates):
Li (0.031, 0.153, 0.374)
Li (0.568, 0.196, 0.475)
Zn (0.736, 0.888, 0.273)
Li (0.804, 0.525, 0.432)
Li (0.626, 0.969, 0.847)
Li (0.525, 0.432, 0.804)
Li (0.969, 0.847, 0.626)
Li (0.196, 0.475, 0.568)
Li (0.374, 0.031, 0.153)
Zn (0.264, 0.112, 0.727)
Li (0.847, 0.626, 0.969)
Zn (0.112, 0.727, 0.264)
Li (0.153, 0.374, 0.031)
Au (0.000, 0.000, 0.000)
Li (0.432, 0.804, 0.525)
Zn (0.727, 0.264, 0.112)
Li (0.475, 0.568, 0.196)
Zn (0.273, 0.736, 0.888)
Zn (0.888, 0.273, 0.736)

## Properties
The value obtained for the size of the total moment is 0.00 μB per formula unit. The formation enthalpy at 0 K is -0.1671 eV per atom. For the density of states at the Fermi level, the calculation gives 8.2 states/eV/f.u.

***

Record 12
MoRhCl2 after structural relaxation. Source: Alexandria, functional PBE.

Unit cell a=8.355 b=8.355 c=8.355 alpha=21.08 beta=21.08 gamma=21.08
Atoms (fractional coordinates):
Mo (0.500, 0.500, 0.500)
Rh (0.000, 0.000, 0.000)
Cl (0.095, 0.095, 0.095)
Cl (0.905, 0.905, 0.905)

## Properties
The value obtained for the size of the total moment is 0.00 μB per formula unit. For the density of states at the Fermi level, the calculation gives 3.6 states/eV/f.u. The value obtained for the formation energy (no corrections) is 0.15 eV per atom. The offset from the most stable computed form comes out at 396 meV/atom.